# 1
The following is a DFT calculation (PBE) of a relaxed structure of Ba2MgSn4Ir3.

Values from the calculation:
- SG: No. 115
- Total magnetic moment: 0.000 μB per formula unit
- Final energy: -5.204 eV per atom

Cell: 4.7026 4.7026 11.2418 Å, 90.00 90.00 90.00°
Last column: nearest neighbours and their distance in Å.
Element x y z (fractional)
Ba: 0.0000 0.5000 0.7547  8 Sn 3.58-3.62, 6 Ir 3.61-3.70, 2 Mg 3.70
Ba: 0.5000 0.0000 0.2453  8 Sn 3.58-3.62, 6 Ir 3.61-3.70, 2 Mg 3.70
Sn: 0.5000 0.5000 0.0000  4 Ir 2.72
Sn: 0.0000 0.0000 0.0000  4 Ir 2.72
Sn: 0.0000 0.5000 0.3622  3 Ir 2.71-2.82, 2 Mg 2.82
Sn: 0.5000 0.0000 0.6378  3 Ir 2.71-2.82, 2 Mg 2.82
Ir: 0.0000 0.5000 0.1215  5 Sn 2.71-2.72
Ir: 0.0000 0.0000 0.5000  4 Sn 2.82
Ir: 0.5000 0.0000 0.8785  5 Sn 2.71-2.72
Mg: 0.5000 0.5000 0.5000  4 Sn 2.82



# 2
The following is a DFT calculation (PBE) of a relaxed structure of BaSrMg2Ir.

Values from the calculation:
- Energy above the lowest structure with this stoichiometry: 83 meV/atom
- SG: No. 123
- Total magnetic moment: 0.000 μB per formula unit
- Final energy: -3.151 eV per atom

Cell: 5.2982 5.2982 5.8573 Å, 90.00 90.00 90.00°
Last column: nearest neighbours and their distance in Å.
Element x y z (fractional)
Mg: 0.0000 0.5000 0.0000  2 Ir 2.65
Mg: 0.5000 0.0000 0.0000  2 Ir 2.65
Ir: 0.0000 0.0000 0.0000  4 Mg 2.65, 2 Ba 2.93
Sr: 0.5000 0.5000 0.5000  4 Ba 3.75, 8 Mg 3.95
Ba: 0.0000 0.0000 0.5000  2 Ir 2.93



# 3
The following is a DFT calculation (PBE) of a relaxed structure of BaSrMg2Ir.

Values from the calculation:
- Energy above the lowest structure with this stoichiometry: 0 meV/atom
- SG: No. 123
- Total magnetic moment: 0.000 μB per formula unit
- Final energy: -3.235 eV per atom

Cell: 5.3093 5.3093 5.6680 Å, 90.00 90.00 90.00°
Last column: nearest neighbours and their distance in Å.
Element x y z (fractional)
Ir: 0.0000 0.0000 0.0000  4 Mg 2.65, 2 Sr 2.83
Sr: 0.0000 0.0000 0.5000  2 Ir 2.83
Mg: 0.5000 0.0000 0.0000  2 Ir 2.65
Mg: 0.0000 0.5000 0.0000  2 Ir 2.65
Ba: 0.5000 0.5000 0.5000  4 Sr 3.75, 8 Mg 3.88



# 4
The following is a DFT calculation (PBE) of a relaxed structure of BaMgTl2Ir.

Values from the calculation:
- SG: No. 123
- Total magnetic moment: 0.000 μB per formula unit
- Final energy: -3.600 eV per atom

Cell: 5.3323 5.3323 5.1301 Å, 90.00 90.00 90.00°
Last column: nearest neighbours and their distance in Å.
Element x y z (fractional)
Ba: 0.5000 0.5000 0.5000  8 Tl 3.70, 4 Mg 3.77
Mg: 0.0000 0.0000 0.5000  2 Ir 2.57
Ir: 0.0000 0.0000 0.0000  2 Mg 2.57, 4 Tl 2.67
Tl: 0.5000 0.0000 0.0000  2 Ir 2.67
Tl: 0.0000 0.5000 0.0000  2 Ir 2.67



# 5
The following is a DFT calculation (PBE) of a relaxed structure of Ba2MgTlIr.

Values from the calculation:
- SG: No. 123
- Total magnetic moment: 0.000 μB per formula unit
- Final energy: -3.455 eV per atom

Cell: 6.1040 6.1040 5.0901 Å, 90.00 90.00 90.00°
Last column: nearest neighbours and their distance in Å.
Element x y z (fractional)
Mg: 0.0000 0.0000 0.5000  2 Ir 2.55
Tl: 0.5000 0.5000 0.5000  8 Ba 3.97, 4 Mg 4.32
Ir: 0.0000 0.0000 0.0000  2 Mg 2.55
Ba: 0.5000 0.0000 0.0000  2 Ir 3.05
Ba: 0.0000 0.5000 0.0000  2 Ir 3.05



# 6
The following is a DFT calculation (PBE) of a relaxed structure of BaYMg2Ir.

Values from the calculation:
- SG: No. 123
- Total magnetic moment: 0.000 μB per formula unit
- Final energy: -4.356 eV per atom

Cell: 5.2966 5.2966 5.2986 Å, 90.00 90.00 90.00°
Last column: nearest neighbours and their distance in Å.
Element x y z (fractional)
Ba: 0.5000 0.5000 0.5000  4 Y 3.75, 8 Mg 3.75
Y: 0.0000 0.0000 0.5000  2 Ir 2.65
Ir: 0.0000 0.0000 0.0000  4 Mg 2.65, 2 Y 2.65
Mg: 0.0000 0.5000 0.0000  2 Ir 2.65
Mg: 0.5000 0.0000 0.0000  2 Ir 2.65



# 7
The following is a DFT calculation (PBE) of a relaxed structure of BaY2MgIr.

Values from the calculation:
- SG: No. 123
- Total magnetic moment: 0.000 μB per formula unit
- Final energy: -5.362 eV per atom

Cell: 5.4472 5.4472 5.4052 Å, 90.00 90.00 90.00°
Last column: nearest neighbours and their distance in Å.
Element x y z (fractional)
Ba: 0.5000 0.5000 0.5000  8 Y 3.84, 4 Mg 3.85
Y: 0.5000 0.0000 0.0000  2 Ir 2.72
Y: 0.0000 0.5000 0.0000  2 Ir 2.72
Ir: 0.0000 0.0000 0.0000  2 Mg 2.70, 4 Y 2.72
Mg: 0.0000 0.0000 0.5000  2 Ir 2.70



# 8
The following is a DFT calculation (PBE) of a relaxed structure of Ba2YMgIr.

Values from the calculation:
- SG: No. 123
- Total magnetic moment: 0.000 μB per formula unit
- Final energy: -4.226 eV per atom

Cell: 6.1949 5.3692 6.1949 Å, 90.00 90.00 90.00°
Last column: nearest neighbours and their distance in Å.
Element x y z (fractional)
Mg: 0.5000 0.5000 0.5000  8 Ba 4.10, 4 Y 4.38
Ir: 0.0000 0.0000 0.0000  2 Y 2.68
Ba: 0.5000 0.0000 0.0000  2 Ir 3.10
Ba: 0.0000 0.0000 0.5000  2 Ir 3.10
Y: 0.0000 0.5000 0.0000  2 Ir 2.68



# 9
The following is a DFT calculation (PBE) of a relaxed structure of Ba2MgZnIr.

Values from the calculation:
- Energy above the lowest structure with this stoichiometry: 0 meV/atom
- SG: No. 123
- Total magnetic moment: 0.001 μB per formula unit
- Final energy: -3.146 eV per atom

Cell: 6.0766 6.0766 5.0771 Å, 90.00 90.00 90.00°
Last column: nearest neighbours and their distance in Å.
Element x y z (fractional)
Ir: 0.0000 0.0000 0.0000  2 Mg 2.54
Mg: 0.0000 0.0000 0.5000  2 Ir 2.54
Zn: 0.5000 0.5000 0.5000  8 Ba 3.96, 4 Mg 4.30
Ba: 0.0000 0.5000 0.0000  2 Ir 3.04
Ba: 0.5000 0.0000 0.0000  2 Ir 3.04



# 10
The following is a DFT calculation (PBE) of a relaxed structure of Ba2MgZnIr.

Values from the calculation:
- Energy above the lowest structure with this stoichiometry: 7 meV/atom
- SG: No. 123
- Total magnetic moment: 0.000 μB per formula unit
- Final energy: -3.139 eV per atom

Cell: 6.1006 6.1006 4.9271 Å, 90.00 90.00 90.00°
Last column: nearest neighbours and their distance in Å.
Element x y z (fractional)
Zn: 0.0000 0.0000 0.5000  2 Ir 2.46
Ba: 0.5000 0.0000 0.0000  2 Ir 3.05
Ba: 0.0000 0.5000 0.0000  2 Ir 3.05
Ir: 0.0000 0.0000 0.0000  2 Zn 2.46
Mg: 0.5000 0.5000 0.5000  8 Ba 3.92, 4 Zn 4.31



# 11
The following is a DFT calculation (PBE) of a relaxed structure of BaMg2ZnIr.

Values from the calculation:
- SG: No. 123
- Total magnetic moment: 0.000 μB per formula unit
- Final energy: -3.301 eV per atom

Cell: 5.0807 5.0807 5.0508 Å, 90.00 90.00 90.00°
Last column: nearest neighbours and their distance in Å.
Element x y z (fractional)
Ba: 0.5000 0.5000 0.5000  8 Mg 3.58, 4 Zn 3.59
Mg: 0.5000 0.0000 0.0000  2 Ir 2.54
Mg: 0.0000 0.5000 0.0000  2 Ir 2.54
Ir: 0.0000 0.0000 0.0000  2 Zn 2.53, 4 Mg 2.54
Zn: 0.0000 0.0000 0.5000  2 Ir 2.53



# 12
The following is a DFT calculation (PBE) of a relaxed structure of Ba2MnIr.

Values from the calculation:
- Energy above the lowest structure with this stoichiometry: 497 meV/atom
- SG: No. 225
- Total magnetic moment: 4.304 μB per formula unit
- Final energy: -4.993 eV per atom

Cell: 5.5071 5.5071 5.5071 Å, 60.00 60.00 60.00°
Last column: nearest neighbours and their distance in Å.
Element x y z (fractional)
Ir: 0.5000 0.5000 0.5000  8 Ba 3.37
Ba: 0.7500 0.7500 0.7500  4 Mn 3.37, 4 Ir 3.37
Ba: 0.2500 0.2500 0.2500  4 Ir 3.37, 4 Mn 3.37
Mn: 0.0000 0.0000 0.0000  8 Ba 3.37